Compound: Tc4IBr2
Source: OQMD via LeMat-Bulk
Functional: GGA-PBE
Structure: relaxed

```
Tc4IBr2
1.0
-2.534 2.534 6.672
2.534 -2.534 6.672
2.534 2.534 -6.672
Tc I Br
4 1 2
direct
0.000 0.500 0.500
0.194 0.194 0.000
0.500 0.000 0.500
0.806 0.806 0.000
0.000 0.000 0.000
0.382 0.382 0.000
0.618 0.618 0.000
```

The spin magnetization comes out at 10.213 μB per cell. The electronic total energy is -33.02 eV per cell. The crystal system is tetragonal.

---

Compound: TmIBr
Source: OQMD via LeMat-Bulk
Functional: GGA-PBE
Structure: relaxed

```
TmIBr
1.0
1.966 1.135 14.655
-1.966 1.135 14.655
0.000 -2.270 14.655
Tm I Br
2 2 2
direct
0.000 0.000 0.000
0.500 0.500 0.500
0.121 0.121 0.121
0.879 0.879 0.879
0.294 0.294 0.294
0.706 0.706 0.706
```

The spin magnetization comes out at 0.017 μB per cell. The electronic total energy is -23.22 eV per cell. The crystal system is trigonal.

---

Compound: TmIBr
Source: OQMD via LeMat-Bulk
Functional: GGA-PBE
Structure: relaxed

```
TmIBr
1.0
9.408 0.000 0.000
-4.704 8.147 0.000
0.000 0.000 3.584
Tm I Br
3 3 3
direct
0.000 0.698 0.000
0.302 0.302 0.000
0.698 0.000 0.000
0.000 0.305 0.500
0.305 0.000 0.500
0.695 0.695 0.500
0.000 0.000 0.000
0.333 0.667 0.500
0.667 0.333 0.500
```

The spin magnetization comes out at 0.005 μB per cell. The electronic total energy is -28.85 eV per cell. The crystal system is hexagonal.

---

Compound: ZnIBr
Source: OQMD via LeMat-Bulk
Functional: GGA-PBE
Structure: relaxed

```
ZnIBr
1.0
4.083 0.000 0.000
0.000 4.083 0.000
0.000 0.000 12.637
Zn I Br
2 2 2
direct
0.000 0.000 0.000
0.500 0.500 0.500
0.000 0.500 0.132
0.500 0.000 0.868
0.000 0.500 0.611
0.500 0.000 0.389
```

The electronic total energy is -13.29 eV per cell. The crystal system is tetragonal.

---

Compound: ZnIBr
Source: OQMD via LeMat-Bulk
Functional: GGA-PBE
Structure: relaxed

```
ZnIBr
1.0
4.005 0.000 0.000
0.000 4.178 0.000
0.000 0.000 12.852
Zn I Br
2 2 2
direct
0.250 0.250 0.244
0.750 0.750 0.756
0.250 0.750 0.370
0.750 0.250 0.630
0.250 0.750 0.869
0.750 0.250 0.131
```

The electronic total energy is -13.30 eV per cell. The crystal system is orthorhombic.

---

Compound: ZnIBr
Source: OQMD via LeMat-Bulk
Functional: GGA-PBE
Structure: relaxed

```
ZnIBr
1.0
4.082 0.000 0.000
0.000 4.082 0.000
0.000 0.000 12.866
Zn I Br
2 2 2
direct
0.000 0.500 0.000
0.500 0.000 0.500
0.000 0.000 0.129
0.000 0.000 0.629
0.500 0.500 0.389
0.500 0.500 0.889
```

The electronic total energy is -13.28 eV per cell. The crystal system is tetragonal.

---

Compound: ZrIBr2
Source: OQMD via LeMat-Bulk
Functional: GGA-PBE
Structure: relaxed

```
ZrIBr2
1.0
6.355 0.000 0.000
0.000 3.567 6.395
0.000 -3.567 6.395
Zr I Br
2 2 4
direct
0.000 0.000 0.000
0.500 0.000 0.000
0.250 0.341 0.985
0.750 0.985 0.341
0.250 0.001 0.696
0.250 0.684 0.301
0.750 0.301 0.684
0.750 0.696 0.001
```

The spin magnetization comes out at 0.003 μB per cell. The electronic total energy is -36.66 eV per cell. The crystal system is orthorhombic.

---

Compound: ZrI2Br
Source: OQMD via LeMat-Bulk
Functional: GGA-PBE
Structure: relaxed

```
ZrI2Br
1.0
6.466 0.000 0.000
0.000 6.422 3.771
0.000 -6.422 3.771
Zr I Br
2 4 2
direct
0.247 0.000 0.000
0.753 0.000 0.000
0.000 0.677 0.677
0.500 0.014 0.683
0.500 0.322 0.322
0.500 0.683 0.014
0.000 0.004 0.299
0.000 0.299 0.004
```

The spin magnetization comes out at 0.007 μB per cell. The electronic total energy is -35.28 eV per cell. The crystal system is orthorhombic.

---

Compound: ZrI2Br
Source: OQMD via LeMat-Bulk
Functional: GGA-PBE
Structure: relaxed

```
ZrI2Br
1.0
6.468 0.000 0.000
0.000 3.784 6.451
0.000 -3.784 6.451
Zr I Br
2 4 2
direct
0.000 0.000 0.000
0.500 0.000 0.000
0.250 0.326 0.995
0.250 0.670 0.314
0.750 0.314 0.670
0.750 0.995 0.326
0.250 0.988 0.711
0.750 0.711 0.988
```

The spin magnetization comes out at 0.012 μB per cell. The electronic total energy is -35.28 eV per cell. The crystal system is orthorhombic.

---

Compound: Zr2I3Br3
Source: OQMD via LeMat-Bulk
Functional: GGA-PBE
Structure: relaxed

```
Zr2I3Br3
1.0
7.428 0.000 0.000
-3.714 6.433 0.000
0.000 0.000 6.407
Zr I Br
2 3 3
direct
0.000 0.000 0.250
0.000 0.000 0.750
0.000 0.327 0.000
0.327 0.000 0.000
0.673 0.673 0.000
0.000 0.703 0.500
0.297 0.297 0.500
0.703 0.000 0.500
```

The spin magnetization comes out at 0.002 μB per cell. The electronic total energy is -35.98 eV per cell. The crystal system is hexagonal.

---

Compound: ZrI2Br2
Source: OQMD via LeMat-Bulk
Functional: GGA-PBE
Structure: relaxed

```
ZrI2Br2
1.0
3.500 0.000 0.000
-1.750 3.031 0.000
0.000 0.000 28.757
Zr I Br
2 4 4
direct
0.000 0.000 0.000
0.000 0.000 0.500
0.333 0.667 0.180
0.333 0.667 0.320
0.667 0.333 0.680
0.667 0.333 0.820
0.333 0.667 0.565
0.333 0.667 0.935
0.667 0.333 0.065
0.667 0.333 0.435
```

The spin magnetization comes out at 0.001 μB per cell. The electronic total energy is -35.74 eV per cell. The crystal system is hexagonal.

---

Compound: Zr2IBr
Source: OQMD via LeMat-Bulk
Functional: GGA-PBE
Structure: relaxed

```
Zr2IBr
1.0
1.807 1.043 9.824
-1.807 1.043 9.824
0.000 -2.086 9.824
Zr I Br
2 1 1
direct
0.000 0.000 0.000
0.255 0.255 0.255
0.737 0.737 0.737
0.524 0.524 0.524
```

The spin magnetization comes out at 0.013 μB per cell. The electronic total energy is -23.43 eV per cell. The crystal system is trigonal.

---

Compound: ZrI2Br2
Source: OQMD via LeMat-Bulk
Functional: GGA-PBE
Structure: relaxed

```
ZrI2Br2
1.0
7.129 -4.320 0.000
7.129 4.320 0.000
-0.006 0.000 6.781
Zr I Br
2 4 4
direct
0.148 0.852 0.750
0.852 0.148 0.250
0.228 0.520 0.604
0.480 0.772 0.896
0.520 0.228 0.104
0.772 0.480 0.396
0.005 0.202 0.926
0.202 0.005 0.426
0.798 0.995 0.574
0.995 0.798 0.074
```

The spin magnetization comes out at 0.003 μB per cell. The electronic total energy is -41.28 eV per cell. The crystal system is monoclinic.

---

Compound: ZrI2Br2
Source: OQMD via LeMat-Bulk
Functional: GGA-PBE
Structure: relaxed

```
ZrI2Br2
1.0
7.371 0.000 0.000
0.000 8.183 0.000
-2.412 0.000 6.713
Zr I Br
2 4 4
direct
0.000 0.168 0.250
0.000 0.832 0.750
0.232 0.116 0.999
0.232 0.884 0.499
0.768 0.116 0.501
0.768 0.884 0.001
0.241 0.363 0.469
0.241 0.637 0.969
0.759 0.363 0.031
0.759 0.637 0.531
```

The spin magnetization comes out at 0.003 μB per cell. The electronic total energy is -41.29 eV per cell. The crystal system is monoclinic.

---

Compound: Zr2I3Br3
Source: OQMD via LeMat-Bulk
Functional: GGA-PBE
Structure: relaxed

```
Zr2I3Br3
1.0
6.416 0.000 0.000
0.000 6.377 3.689
0.000 -6.377 3.689
Zr I Br
2 3 3
direct
0.248 0.000 0.000
0.752 0.000 0.000
0.000 0.320 0.981
0.000 0.981 0.320
0.500 0.328 0.328
0.000 0.700 0.700
0.500 0.693 0.985
0.500 0.985 0.693
```

The spin magnetization comes out at 0.008 μB per cell. The electronic total energy is -35.97 eV per cell. The crystal system is orthorhombic.

---

Compound: ZrI2Br
Source: OQMD via LeMat-Bulk
Functional: GGA-PBE
Structure: relaxed

```
ZrI2Br
1.0
6.643 -3.654 0.000
6.643 3.654 0.000
0.000 0.000 6.461
Zr I Br
2 4 2
direct
0.000 0.000 0.000
0.000 0.000 0.500
0.013 0.671 0.750
0.329 0.987 0.750
0.671 0.013 0.250
0.987 0.329 0.250
0.299 0.701 0.250
0.701 0.299 0.750
```

The spin magnetization comes out at 0.009 μB per cell. The electronic total energy is -35.29 eV per cell. The crystal system is orthorhombic.

---

Compound: ZrI2Br2
Source: OQMD via LeMat-Bulk
Functional: GGA-PBE
Structure: relaxed

```
ZrI2Br2
1.0
7.209 0.000 0.000
0.000 8.731 0.000
-1.928 0.000 6.443
Zr I Br
2 4 4
direct
0.000 0.146 0.250
0.000 0.854 0.750
0.257 0.351 0.482
0.257 0.649 0.982
0.743 0.351 0.018
0.743 0.649 0.518
0.215 0.097 0.991
0.215 0.903 0.491
0.785 0.097 0.509
0.785 0.903 0.009
```

The spin magnetization comes out at 0.001 μB per cell. The electronic total energy is -41.28 eV per cell. The crystal system is monoclinic.

---

Compound: ZrIBr2
Source: OQMD via LeMat-Bulk
Functional: GGA-PBE
Structure: relaxed

```
ZrIBr2
1.0
6.357 0.000 0.000
0.000 6.373 3.576
0.000 -6.373 3.576
Zr I Br
2 2 4
direct
0.248 0.000 0.000
0.752 0.000 0.000
0.000 0.000 0.334
0.000 0.334 0.000
0.000 0.691 0.691
0.500 0.307 0.307
0.500 0.690 0.987
0.500 0.987 0.690
```

The spin magnetization comes out at 0.002 μB per cell. The electronic total energy is -36.66 eV per cell. The crystal system is orthorhombic.

---

Compound: Zr2I5Br
Source: OQMD via LeMat-Bulk
Functional: GGA-PBE
Structure: relaxed

```
Zr2I5Br
1.0
6.520 0.000 0.000
0.000 6.668 3.787
0.000 -6.668 3.787
Zr I Br
2 5 1
direct
0.246 0.000 0.000
0.754 0.000 0.000
0.000 0.005 0.685
0.000 0.685 0.005
0.500 0.014 0.323
0.500 0.323 0.014
0.500 0.682 0.682
0.000 0.291 0.291
```

The spin magnetization comes out at 0.018 μB per cell. The electronic total energy is -34.61 eV per cell. The crystal system is orthorhombic.

---

Compound: Zr2I3Br3
Source: OQMD via LeMat-Bulk
Functional: GGA-PBE
Structure: relaxed

```
Zr2I3Br3
1.0
7.246 0.000 0.000
0.000 6.403 0.000
-3.519 0.000 6.525
Zr I Br
2 3 3
direct
0.000 0.249 0.000
0.000 0.751 0.000
0.333 0.000 0.318
0.673 0.500 0.676
0.989 0.500 0.322
0.010 0.000 0.706
0.297 0.500 0.988
0.696 0.000 0.996
```

The spin magnetization comes out at 0.017 μB per cell. The electronic total energy is -35.97 eV per cell. The crystal system is monoclinic.

---

Compound: ZrI2Br2
Source: OQMD via LeMat-Bulk
Functional: GGA-PBE
Structure: relaxed

```
ZrI2Br2
1.0
6.962 -4.208 0.000
6.962 4.208 0.000
-0.304 0.000 7.153
Zr I Br
2 4 4
direct
0.164 0.836 0.750
0.836 0.164 0.250
0.004 0.228 0.929
0.228 0.004 0.429
0.772 0.996 0.571
0.996 0.772 0.071
0.234 0.525 0.609
0.475 0.766 0.891
0.525 0.234 0.109
0.766 0.475 0.391
```

The spin magnetization comes out at 0.004 μB per cell. The electronic total energy is -41.34 eV per cell. The crystal system is monoclinic.

---

Compound: ZrIBr2
Source: OQMD via LeMat-Bulk
Functional: GGA-PBE
Structure: relaxed

```
ZrIBr2
1.0
6.116 -3.707 0.000
6.116 3.707 0.000
0.000 0.000 6.367
Zr I Br
2 2 4
direct
0.000 0.000 0.000
0.000 0.000 0.500
0.330 0.670 0.750
0.670 0.330 0.250
0.010 0.303 0.750
0.303 0.010 0.250
0.697 0.990 0.750
0.990 0.697 0.250
```

The spin magnetization comes out at 0.022 μB per cell. The electronic total energy is -36.66 eV per cell. The crystal system is orthorhombic.

---

Compound: In2IrBr4
Source: OQMD via LeMat-Bulk
Functional: GGA-PBE
Structure: relaxed

```
In2IrBr4
1.0
4.426 0.000 0.000
-2.213 3.833 0.000
0.000 0.000 13.772
In Ir Br
2 1 4
direct
0.000 0.000 0.000
0.333 0.667 0.358
0.667 0.333 0.683
0.000 0.000 0.220
0.000 0.000 0.687
0.667 0.333 0.504
0.667 0.333 0.865
```

The spin magnetization comes out at 0.024 μB per cell. The electronic total energy is -22.28 eV per cell. The crystal system is trigonal.

---

Compound: InIrBr6
Source: OQMD via LeMat-Bulk
Functional: GGA-PBE
Structure: relaxed

```
InIrBr6
1.0
3.368 -5.819 0.000
3.368 5.819 0.000
-2.279 0.000 6.545
In Ir Br
1 1 6
direct
0.000 0.000 0.000
0.334 0.666 0.000
0.109 0.435 0.221
0.251 0.285 0.777
0.400 0.040 0.225
0.565 0.891 0.779
0.715 0.749 0.223
0.960 0.600 0.775
```

The spin magnetization comes out at 0.001 μB per cell. The electronic total energy is -26.09 eV per cell. The crystal system is monoclinic.

---

Compound: In2SnIrBr
Source: OQMD via LeMat-Bulk
Functional: GGA-PBE
Structure: relaxed

```
In2SnIrBr
1.0
5.254 0.000 0.000
0.000 5.254 0.000
0.000 0.000 5.063
In Sn Ir Br
2 1 1 1
direct
0.000 0.500 0.000
0.500 0.000 0.000
0.000 0.000 0.500
0.000 0.000 0.000
0.500 0.500 0.500
```

The spin magnetization comes out at 0.000 μB per cell. The electronic total energy is -22.09 eV per cell. The crystal system is tetragonal.